Entry 1:
## Y2AlAg (PBE)

Data for crystalline Y2AlAg at its relaxed geometry.

Its crystal system is tetragonal. The value obtained for the density of states at the Fermi level is 0.656 states/eV per atom. As for the energy of formation from the pure elements: -0.3802 eV per atom.

Lattice parameters (Å, degrees): 3.5650 3.5650 7.5536 90.00 90.00 90.00
Last column: nearest neighbours and their distance in Å.
Fractional positions:
Y1 0.0000 0.0000 0.2501  4 Ag 3.15, 4 Al 3.15
Y2 0.0000 0.0000 0.7499  4 Ag 3.15, 4 Al 3.15
Al1 0.5000 0.5000 0.0000  8 Y 3.15
Ag1 0.5000 0.5000 0.5000  8 Y 3.15

---

Entry 2:
## Pm2Ho2S5 (PBE)

Data for crystalline Pm2Ho2S5 at its relaxed geometry.

Its crystal system is orthorhombic. As for the formation energy from raw total energies: -1804 meV per atom. The value obtained for the density of states at the Fermi level is 0.363 states/eV per atom.

Lattice parameters (Å, degrees): 9.9885 9.9885 9.9885 62.71 136.09 137.57
Last column: nearest neighbours and their distance in Å.
Fractional positions:
Pm1 0.0476 0.0970 0.1446  5 S 2.81-3.11
Pm2 0.0476 0.4030 0.4506  5 S 2.81-3.11
Pm3 0.9524 0.5970 0.5494  5 S 2.81-3.11
Pm4 0.9524 0.9030 0.8554  5 S 2.81-3.11
Ho1 0.4562 0.7859 0.1703  4 S 2.60-2.64
Ho2 0.4588 0.4588 0.0000  6 S 2.62-2.73
Ho3 0.4588 0.9588 0.5000  6 S 2.62-2.73
Ho4 0.6156 0.2859 0.8297  4 S 2.60-2.64
S1 0.2533 0.0149 0.5299  2 Ho 2.60-2.71, 2 Pm 2.81-2.84
S2 0.2533 0.2234 0.7385  2 Ho 2.60-2.71, 2 Pm 2.81-2.84
S3 0.4840 0.1796 0.2317  2 Ho 2.62-2.73
S4 0.4840 0.7524 0.8045  2 Ho 2.62-2.73
S5 0.4850 0.5149 0.2615  2 Ho 2.60-2.71, 2 Pm 2.81-2.84
S6 0.4850 0.7234 0.4701  2 Ho 2.60-2.71, 2 Pm 2.81-2.84
S7 0.8069 0.1514 0.1554  2 Ho 2.62-2.64, 2 Pm 2.91
S8 0.9479 0.2524 0.7683  2 Ho 2.62-2.73
S9 0.9479 0.6796 0.1955  2 Ho 2.62-2.73
S10 0.9960 0.6514 0.8446  2 Ho 2.62-2.64, 2 Pm 2.91

---

Entry 3:
## SrZrW2 (PBE)

Data for crystalline SrZrW2 at its relaxed geometry.

Its crystal system is tetragonal. The value obtained for the density of states at the Fermi level is 1.519 states/eV per atom. As for the energy of formation from the pure elements: 1.2506 eV per atom. The value obtained for the energy above the lowest structure with this stoichiometry is 0.732 eV per atom.

Lattice parameters (Å, degrees): 5.4111 5.4111 2.9176 90.00 90.00 90.00
Last column: nearest neighbours and their distance in Å.
Fractional positions:
Sr1 0.0000 0.0000 0.0000  2 Sr 2.92, 8 W 3.07
Zr1 0.5000 0.5000 0.0000  2 Zr 2.92, 8 W 3.07
W1 0.0000 0.5000 0.5000  2 W 2.92, 4 Zr 3.07, 4 Sr 3.07
W2 0.5000 0.0000 0.5000  2 W 2.92, 4 Zr 3.07, 4 Sr 3.07

---

Entry 4:
## BaLiTe2N (PBE)

Data for crystalline BaLiTe2N at its relaxed geometry.

Its crystal system is tetragonal. As for the formation energy from raw total energies: 631 meV per atom. The value obtained for the density of states at the Fermi level is 1.352 states/eV per atom. The value obtained for the energy above the lowest structure with this stoichiometry is 0.619 eV per atom.

Lattice parameters (Å, degrees): 6.7645 6.7645 4.3837 90.00 90.00 90.00
Last column: nearest neighbours and their distance in Å.
Fractional positions:
Ba1 0.0000 0.0000 0.0000  2 N 2.19
Li1 0.5000 0.5000 0.5000  8 Te 4.03, 2 Li 4.38
Te1 0.0000 0.5000 0.0000  2 Ba 3.38
Te2 0.5000 0.0000 0.0000  2 Ba 3.38
N1 0.0000 0.0000 0.5000  2 Ba 2.19

---

Entry 5:
## OsRu2Au (PBE)

Data for crystalline OsRu2Au at its relaxed geometry.

Its crystal system is tetragonal. The value obtained for the density of states at the Fermi level is 1.333 states/eV per atom. As for the energy of formation from the pure elements: 0.4611 eV per atom. The value obtained for the energy above the lowest structure with this stoichiometry is 0.224 eV per atom.

Lattice parameters (Å, degrees): 3.8555 3.8555 8.0000 90.00 90.00 90.00
Last column: nearest neighbours and their distance in Å.
Fractional positions:
Os1 0.0000 0.0000 0.0000  8 Ru 2.73-2.78, 4 Au 2.78
Os2 0.5000 0.5000 0.5000  8 Ru 2.73-2.78, 4 Au 2.78
Ru1 0.0000 0.0000 0.5000  4 Os 2.73, 4 Ru 2.78, 4 Au 2.78
Ru2 0.0000 0.5000 0.7500  4 Au 2.73, 4 Os 2.78, 4 Ru 2.78
Ru3 0.5000 0.0000 0.2500  4 Au 2.73, 4 Ru 2.78, 4 Os 2.78
Ru4 0.5000 0.5000 0.0000  4 Os 2.73, 4 Ru 2.78, 4 Au 2.78
Au1 0.0000 0.5000 0.2500  8 Ru 2.73-2.78, 4 Os 2.78
Au2 0.5000 0.0000 0.7500  8 Ru 2.73-2.78, 4 Os 2.78

---

Entry 6:
## TlZn2Cl (PBE)

Data for crystalline TlZn2Cl at its relaxed geometry.

Its crystal system is tetragonal. As for the formation energy from raw total energies: -211 meV per atom. The value obtained for the density of states at the Fermi level is 0.173 states/eV per atom. The value obtained for the energy above the lowest structure with this stoichiometry is 0.023 eV per atom.

Lattice parameters (Å, degrees): 3.7547 3.7547 7.2466 90.00 90.00 90.00
Last column: nearest neighbours and their distance in Å.
Fractional positions:
Tl1 0.0000 0.0000 0.0000  1 Zn 2.92, 4 Cl 3.11
Zn1 0.0000 0.0000 0.4033  4 Zn 2.66, 1 Tl 2.92
Zn2 0.5000 0.5000 0.4066  4 Zn 2.66, 1 Cl 2.68
Cl1 0.5000 0.5000 0.7758  1 Zn 2.68

---

Entry 7:
## Tb6Tl2Pt (PBE)

Data for crystalline Tb6Tl2Pt at its relaxed geometry.

Its crystal system is hexagonal. The value obtained for the density of states at the Fermi level is 1.283 states/eV per atom. As for the energy of formation from the pure elements: -0.4781 eV per atom. The value obtained for the energy above the lowest structure with this stoichiometry is 0.000 eV per atom.

Lattice parameters (Å, degrees): 8.7382 8.7382 3.8527 90.00 90.00 120.00
Last column: nearest neighbours and their distance in Å.
Fractional positions:
Tb1 0.0000 0.3967 0.0000  4 Tl 3.30, 1 Pt 3.47, 6 Tb 3.59-3.68
Tb2 0.0000 0.7560 0.5000  2 Pt 2.87
Tb3 0.2440 0.2440 0.5000  2 Pt 2.87
Tb4 0.3967 0.0000 0.0000  4 Tl 3.30, 1 Pt 3.47, 6 Tb 3.59-3.68
Tb5 0.6033 0.6033 0.0000  4 Tl 3.30, 1 Pt 3.47, 6 Tb 3.59-3.68
Tb6 0.7560 0.0000 0.5000  2 Pt 2.87
Tl1 0.3333 0.6667 0.5000  9 Tb 3.30-3.37
Tl2 0.6667 0.3333 0.5000  9 Tb 3.30-3.37
Pt1 0.0000 0.0000 0.0000  6 Tb 2.87

---

Entry 8:
## Tl2ZnAg2Cl6 (PBE)

Data for crystalline Tl2ZnAg2Cl6 at its relaxed geometry.

Its crystal system is monoclinic. As for the formation energy from raw total energies: -787 meV per atom. The value obtained for the density of states at the Fermi level is 0.000 states/eV per atom.

Lattice parameters (Å, degrees): 7.4901 7.4901 7.2023 114.61 114.61 57.26
Last column: nearest neighbours and their distance in Å.
Fractional positions:
Tl1 0.2390 0.2390 0.1604  5 Cl 3.25-3.26, 1 Ag 3.28
Tl2 0.7610 0.7610 0.8396  5 Cl 3.25-3.26, 1 Ag 3.28
Zn1 0.5000 0.5000 0.0000  6 Cl 2.45-2.60
Ag1 0.0923 0.0923 0.4224  3 Cl 2.46-2.56
Ag2 0.9077 0.9077 0.5776  3 Cl 2.46-2.56
Cl1 0.2214 0.6965 0.1993  1 Zn 2.45, 1 Ag 2.56
Cl2 0.2788 0.2788 0.7482  1 Ag 2.46, 1 Zn 2.60
Cl3 0.3035 0.7786 0.8007  1 Zn 2.45, 1 Ag 2.56
Cl4 0.6965 0.2214 0.1993  1 Zn 2.45, 1 Ag 2.56
Cl5 0.7212 0.7212 0.2518  1 Ag 2.46, 1 Zn 2.60
Cl6 0.7786 0.3035 0.8007  1 Zn 2.45, 1 Ag 2.56

---

Entry 9:
## Cr2PtRh (PBE)

Data for crystalline Cr2PtRh at its relaxed geometry.

Its crystal system is trigonal. The value obtained for the density of states at the Fermi level is 1.031 states/eV per atom. As for the energy of formation from the pure elements: 0.0178 eV per atom.

Lattice parameters (Å, degrees): 2.6756 2.6756 25.9426 90.00 90.00 120.00
Last column: nearest neighbours and their distance in Å.
Fractional positions:
Cr1 0.0000 0.0000 0.2478  3 Rh 2.61, 6 Cr 2.68, 3 Pt 2.70
Cr2 0.0000 0.0000 0.7522  3 Rh 2.61, 6 Cr 2.68, 3 Pt 2.70
Cr3 0.3333 0.6667 0.4189  3 Rh 2.61, 6 Cr 2.68, 3 Pt 2.70
Cr4 0.3333 0.6667 0.9145  3 Rh 2.61, 6 Cr 2.68, 3 Pt 2.70
Cr5 0.6667 0.3333 0.0855  3 Rh 2.61, 6 Cr 2.68, 3 Pt 2.70
Cr6 0.6667 0.3333 0.5811  3 Rh 2.61, 6 Cr 2.68, 3 Pt 2.70
Pt1 0.0000 0.0000 0.0000  6 Pt 2.68, 6 Cr 2.70
Pt2 0.3333 0.6667 0.6667  6 Pt 2.68, 6 Cr 2.70
Pt3 0.6667 0.3333 0.3333  6 Pt 2.68, 6 Cr 2.70
Rh1 0.0000 0.0000 0.5000  6 Cr 2.61, 6 Rh 2.68
Rh2 0.3333 0.6667 0.1667  6 Cr 2.61, 6 Rh 2.68
Rh3 0.6667 0.3333 0.8333  6 Cr 2.61, 6 Rh 2.68

---

Entry 10:
## Ac3InPt (PBE)

Data for crystalline Ac3InPt at its relaxed geometry.

Its crystal system is cubic. The value obtained for the density of states at the Fermi level is 1.575 states/eV per atom. As for the energy of formation from the pure elements: -0.4609 eV per atom. The value obtained for the energy above the lowest structure with this stoichiometry is 0.180 eV per atom.

Lattice parameters (Å, degrees): 5.8785 5.8785 5.8785 90.00 90.00 90.00
Last column: nearest neighbours and their distance in Å.
Fractional positions:
Ac1 0.0000 0.0000 0.5000  2 Pt 2.94
Ac2 0.0000 0.5000 0.0000  2 Pt 2.94
Ac3 0.5000 0.0000 0.0000  2 Pt 2.94
In1 0.5000 0.5000 0.5000  12 Ac 4.16
Pt1 0.0000 0.0000 0.0000  6 Ac 2.94

---

Entry 11:
## NaErNb4N8 (PBE)

Data for crystalline NaErNb4N8 at its relaxed geometry.

Its crystal system is trigonal. As for the formation energy from raw total energies: -777 meV per atom.

Lattice parameters (Å, degrees): 6.4794 6.4794 6.4794 58.73 58.73 58.73
Last column: nearest neighbours and their distance in Å.
Fractional positions:
Na1 0.0000 0.0000 0.0000  6 N 2.35-2.36
Er1 0.6172 0.6172 0.6172  4 N 2.20-2.25
Nb1 0.3724 0.3724 0.3724  3 N 1.94
Nb2 0.5099 0.9936 0.9936  4 N 2.00-2.19
Nb3 0.9936 0.5099 0.9936  4 N 2.00-2.19
Nb4 0.9936 0.9936 0.5099  4 N 2.00-2.19
N1 0.1967 0.7452 0.7452  2 Nb 2.00, 1 Er 2.20
N2 0.2346 0.2346 0.2346  4 Nb 2.19-2.21
N3 0.2600 0.2600 0.7444  1 Nb 1.94
N4 0.2600 0.7444 0.2600  1 Nb 1.94
N5 0.7444 0.2600 0.2600  1 Nb 1.94
N6 0.7452 0.1967 0.7452  2 Nb 2.00, 1 Er 2.20
N7 0.7452 0.7452 0.1967  2 Nb 2.00, 1 Er 2.20
N8 0.7574 0.7574 0.7574  3 Nb 2.14, 1 Er 2.25

---

Entry 12:
## KAl2Re (PBE)

Data for crystalline KAl2Re at its relaxed geometry.

Its crystal system is tetragonal. The value obtained for the density of states at the Fermi level is 0.674 states/eV per atom. As for the energy of formation from the pure elements: 0.5118 eV per atom. The value obtained for the energy above the lowest structure with this stoichiometry is 0.275 eV per atom.

Lattice parameters (Å, degrees): 3.4884 3.4884 8.0468 90.00 90.00 90.00
Last column: nearest neighbours and their distance in Å.
Fractional positions:
K1 0.0000 0.0000 0.0000  1 Al 3.27, 4 K 3.49
Al1 0.0000 0.0000 0.4061  4 Re 2.51
Al2 0.5000 0.5000 0.6498  1 Re 2.42
Re1 0.5000 0.5000 0.3494  5 Al 2.42-2.51